# 1
The following is a DFT calculation (GGA-PBE) of a relaxed structure of Sr2In2Au3.

Output
total magnetization: 0.00 μB per cell
SG: No. 63
volume: 26.57 A^3/atom
formation energy: -4.44 eV per formula unit
DOS(E_F): 6.192 states/eV/cell

The structure in POSCAR format:
```
Sr2In2Au3
1.0
2.266 -10.277 0.000
2.266 10.277 0.000
0.000 0.000 7.987
Sr In Au
4 4 6
Direct
0.055 0.945 0.750
0.148 0.852 0.250
0.852 0.148 0.750
0.945 0.055 0.250
0.308 0.692 0.052
0.308 0.692 0.448
0.692 0.308 0.552
0.692 0.308 0.948
0.225 0.775 0.750
0.439 0.561 0.566
0.439 0.561 0.934
0.561 0.439 0.066
0.561 0.439 0.434
0.775 0.225 0.250
```

# 2
The following is a DFT calculation (GGA-PBE) of a relaxed structure of SrIn2Au8.

Output
total magnetization: 0.00 μB per cell
SG: No. 123
volume: 26.74 A^3/atom
formation energy: -1.52 eV per formula unit
DOS(E_F): 3.675 states/eV/cell

The structure in POSCAR format:
```
SrIn2Au8
1.0
5.492 0.000 0.000
0.000 5.492 0.000
0.000 0.000 9.750
Sr In Au
1 2 8
Direct
0.000 0.000 0.000
0.000 0.500 0.500
0.500 0.000 0.500
0.251 0.251 0.267
0.251 0.251 0.733
0.251 0.749 0.267
0.251 0.749 0.733
0.749 0.251 0.267
0.749 0.251 0.733
0.749 0.749 0.267
0.749 0.749 0.733
```

# 3
The following is a DFT calculation (GGA-PBE) of a relaxed structure of Sr2InAu7.

Output
total magnetization: 0.00 μB per cell
SG: No. 115
volume: 23.90 A^3/atom
formation energy: -4.84 eV per formula unit
DOS(E_F): 4.723 states/eV/cell

The structure in POSCAR format:
```
Sr2InAu7
1.0
4.329 0.000 0.000
0.000 4.329 0.000
0.000 0.000 12.756
Sr In Au
2 1 7
Direct
0.000 0.500 0.237
0.500 0.000 0.763
0.000 0.000 0.500
0.000 0.000 0.000
0.000 0.500 0.647
0.000 0.500 0.857
0.500 0.000 0.143
0.500 0.000 0.353
0.500 0.500 0.000
0.500 0.500 0.500
```

# 4
The following is a DFT calculation (GGA-PBE) of a relaxed structure of Sr2InAu2.

Output
total magnetization: 0.00 μB per cell
SG: No. 139
volume: 30.02 A^3/atom
formation energy: -2.30 eV per formula unit
DOS(E_F): 3.210 states/eV/cell

The structure in POSCAR format:
```
Sr2InAu2
1.0
-1.978 1.978 9.588
1.978 -1.978 9.588
1.978 1.978 -9.588
Sr In Au
2 1 2
Direct
0.115 0.115 0.000
0.885 0.885 0.000
0.500 0.500 0.000
0.250 0.750 0.500
0.750 0.250 0.500
```

# 5
The following is a DFT calculation (GGA-PBE) of a relaxed structure of Sr3In7Au4.

Output
total magnetization: 0.00 μB per cell
SG: No. 12
volume: 25.78 A^3/atom
formation energy: -7.19 eV per formula unit
DOS(E_F): 4.853 states/eV/cell

The structure in POSCAR format:
```
Sr3In7Au4
1.0
8.805 -2.318 0.000
8.805 2.318 0.000
-6.319 0.000 8.843
Sr In Au
3 7 4
Direct
0.000 0.000 0.000
0.308 0.308 0.303
0.692 0.692 0.697
0.000 0.000 0.500
0.160 0.160 0.429
0.321 0.321 0.974
0.494 0.494 0.707
0.506 0.506 0.293
0.679 0.679 0.026
0.840 0.840 0.571
0.122 0.122 0.839
0.341 0.341 0.734
0.659 0.659 0.266
0.878 0.878 0.161
```

# 6
The following is a DFT calculation (GGA-PBE) of a relaxed structure of Sr4InAu.

Output
total magnetization: 0.00 μB per cell
SG: No. 216
excess energy over the best structure of this formula in the dataset: 771 meV per atom
volume: 40.18 A^3/atom
formation energy: 2.11 eV per formula unit
DOS(E_F): 6.439 states/eV/cell

The structure in POSCAR format:
```
Sr4InAu
1.0
0.000 4.940 4.940
4.940 0.000 4.940
4.940 4.940 0.000
Sr In Au
4 1 1
Direct
0.125 0.125 0.125
0.125 0.125 0.624
0.125 0.624 0.125
0.624 0.125 0.125
0.500 0.500 0.500
0.750 0.750 0.750
```

# 7
The following is a DFT calculation (GGA-PBE) of a relaxed structure of Sr2In3Au.

Output
total magnetization: 0.00 μB per cell
SG: No. 69
excess energy over the best structure of this formula in the dataset: 31 meV per atom
volume: 29.19 A^3/atom
formation energy: -3.08 eV per formula unit
DOS(E_F): 5.918 states/eV/cell

The structure in POSCAR format:
```
Sr2In3Au
1.0
0.000 5.006 8.675
4.034 0.000 8.675
4.034 5.006 0.000
Sr In Au
4 6 2
Direct
0.245 0.755 0.755
0.250 0.250 0.250
0.750 0.750 0.750
0.755 0.245 0.245
0.159 0.670 0.330
0.330 0.330 0.670
0.330 0.841 0.159
0.670 0.159 0.841
0.670 0.670 0.330
0.841 0.330 0.670
0.167 0.167 0.833
0.833 0.833 0.167
```

# 8
The following is a DFT calculation (GGA-PBE) of a relaxed structure of Sr6InAu2.

Output
total magnetization: 0.00 μB per cell
SG: No. 71
volume: 37.37 A^3/atom
formation energy: -4.30 eV per formula unit
DOS(E_F): 16.479 states/eV/cell

The structure in POSCAR format:
```
Sr6InAu2
1.0
-5.207 5.461 5.915
5.207 -5.461 5.915
5.207 5.461 -5.915
Sr In Au
12 2 4
Direct
0.055 0.244 0.811
0.178 0.286 0.464
0.178 0.714 0.892
0.338 0.027 0.689
0.338 0.649 0.311
0.433 0.244 0.189
0.567 0.756 0.811
0.662 0.351 0.689
0.662 0.973 0.311
0.822 0.286 0.108
0.822 0.714 0.536
0.945 0.756 0.189
0.000 0.000 0.000
0.500 0.500 0.000
0.128 0.628 0.500
0.322 0.000 0.322
0.678 0.000 0.678
0.872 0.372 0.500
```

# 9
The following is a DFT calculation (GGA-PBE) of a relaxed structure of Sr3In4Au4.

Output
total magnetization: 0.00 μB per cell
SG: No. 71
volume: 26.28 A^3/atom
formation energy: -6.72 eV per formula unit
DOS(E_F): 4.387 states/eV/cell

The structure in POSCAR format:
```
Sr3In4Au4
1.0
-2.305 3.972 7.896
2.305 -3.972 7.896
2.305 3.972 -7.896
Sr In Au
3 4 4
Direct
0.000 0.000 0.000
0.377 0.877 0.500
0.623 0.123 0.500
0.025 0.328 0.697
0.369 0.672 0.697
0.631 0.328 0.303
0.975 0.672 0.303
0.219 0.219 0.000
0.310 0.500 0.810
0.690 0.500 0.190
0.781 0.781 0.000
```

# 10
The following is a DFT calculation (GGA-PBE) of a relaxed structure of SrIn2Au2.

Output
total magnetization: 0.00 μB per cell
SG: No. 127
volume: 24.84 A^3/atom
formation energy: -1.54 eV per formula unit
DOS(E_F): 4.304 states/eV/cell

The structure in POSCAR format:
```
SrIn2Au2
1.0
8.376 0.000 0.000
0.000 8.376 0.000
0.000 0.000 3.540
Sr In Au
2 4 4
Direct
0.000 0.000 0.000
0.500 0.500 0.000
0.125 0.375 0.000
0.375 0.875 0.000
0.625 0.125 0.000
0.875 0.625 0.000
0.178 0.678 0.500
0.322 0.178 0.500
0.678 0.822 0.500
0.822 0.322 0.500
```

# 11
The following is a DFT calculation (GGA-PBE) of a relaxed structure of Sr2In6Au.

Output
total magnetization: 0.00 μB per cell
SG: No. 164
volume: 27.68 A^3/atom
formation energy: -3.32 eV per formula unit
DOS(E_F): 3.005 states/eV/cell

The structure in POSCAR format:
```
Sr2In6Au
1.0
6.669 0.000 0.000
-3.334 5.775 0.000
0.000 0.000 6.467
Sr In Au
2 6 1
Direct
0.333 0.667 0.149
0.667 0.333 0.851
0.174 0.348 0.679
0.174 0.826 0.679
0.348 0.174 0.321
0.652 0.826 0.679
0.826 0.174 0.321
0.826 0.652 0.321
0.000 0.000 0.000
```

# 12
The following is a DFT calculation (GGA-PBE) of a relaxed structure of SrInAu4.

Output
total magnetization: 0.00 μB per cell
SG: No. 123
excess energy over the best structure of this formula in the dataset: 539 meV per atom
volume: 34.38 A^3/atom
formation energy: 0.74 eV per formula unit
DOS(E_F): 2.846 states/eV/cell

The structure in POSCAR format:
```
SrInAu4
1.0
5.122 0.000 0.000
0.000 5.122 0.000
0.000 0.000 7.863
Sr In Au
1 1 4
Direct
0.000 0.000 0.000
0.500 0.500 0.500
0.000 0.500 0.500
0.500 0.000 0.500
0.500 0.500 0.165
0.500 0.500 0.835
```